DFT (PBE) results for a relaxed structure of Li4GaHg.

Values from the calculation:
ρ   4.81 Mg/m³
ΔE to the lowest computed polymorph   0.000 eV/atom
Crystal system   monoclinic
ΔE_f   -0.2434 eV per atom
Magnetic moment   0.0000 μB per atom

The structure in CIF format:
```
data_Li4GaHg
_chemical_formula_sum 'Li4 Ga1 Hg1'
_symmetry_space_group_name_H-M 'P 1'
_symmetry_Int_Tables_number 1
_cell_length_a 2.811
_cell_length_b 4.545
_cell_length_c 8.049
_cell_angle_alpha 90.00
_cell_angle_beta 90.10
_cell_angle_gamma 90.00
loop_
_symmetry_equiv_pos_as_xyz
'x,y,z'
loop_
_atom_site_label
_atom_site_fract_x
_atom_site_fract_y
_atom_site_fract_z
Li1 0.000 0.000 0.000
Li2 0.001 0.500 0.501
Li3 0.503 0.000 0.344
Li4 0.998 0.500 0.824
Ga1 0.496 0.000 0.680
Hg1 0.499 0.500 0.152
```